w) Density functional theory data (PBE) for an optimized crystal structure of RbTeCl6.

The structure in POSCAR format:
```
RbTeCl6
1.0
-2.3657 -5.2450 3.2798
-2.4858 -0.6689 -6.1682
6.4229 -1.5033 -1.0767
Rb Te Cl
1 1 6
Cartesian
0.7857 -3.7086 -1.9826
0.0000 0.0000 0.0000
2.7368 -1.8793 -5.0966
-3.1527 -4.2890 -2.0941
4.7242 -3.1282 -1.8710
-1.1654 -5.5380 1.1315
-1.1884 -2.5744 -5.2501
2.7598 -4.8428 1.2850
```

Calculated values
- Fermi-level density of states (states/eV/atom) = 0.436


x) Density functional theory data (PBE) for an optimized crystal structure of RbTeCl6.

The structure in POSCAR format:
```
RbTeCl6
1.0
7.0414 0.0000 0.0000
3.5207 6.0980 0.0000
3.5207 2.0327 6.4873
Rb Te Cl
1 1 6
Cartesian
7.0414 4.0653 3.2436
0.0000 0.0000 0.0000
12.3348 7.1215 5.0612
8.7894 7.1215 5.0612
3.5207 4.0796 1.4260
5.2934 1.0092 1.4260
1.7480 1.0092 1.4260
10.5621 4.0511 5.0612
```

Calculated values
- Fermi-level density of states (states/eV/atom) = 0.452


Pick the most stable structure from those above. Pick: w)